Na2Y2MoO6 after structural relaxation, computed with GGA+U.

The structure belongs to space group C2/m (No. 12); the cell edges are 5.844, 9.983 and 5.912 Å and the angles 90.00°, 107.02° and 90.00°. Symmetry generates all atoms from Na at (0.000, 0.151, 0.000), Y at (0.000, 0.337, 0.500), Mo at (0.000, 0.000, 0.500), O at (0.206, 0.157, 0.693) and O at (0.249, 0.500, 0.702).

As for the crystal system: monoclinic. For the theoretical density, the calculation gives 4.2 g/cm³. As for the total energy: -159.09 eV per cell. The value obtained for the density of states at the Fermi level is 0.0 states/eV/f.u.